Entry 1:
Computed, not measured: crystalline Ho4Tl3Ni at its relaxed geometry at the PBE-GGA level of DFT.

Magnetic moment: 0.3 μB per formula unit
VASP energy: -4.246 eV/atom
Crystal system: tetragonal

Cell lengths 3.5427, 3.5427, 15.9736 Å; angles 90.00, 90.00, 90.00 degrees
Space group P4/mmm (No. 123)
Inequivalent atoms, fractional coordinates:
Ho  0.0000  0.0000  0.0996 (multiplicity 2)
Ho  0.0000  0.0000  0.3665 (multiplicity 2)
Tl  0.5000  0.5000  0.2351 (multiplicity 2)
Tl  0.5000  0.5000  0.5000 (multiplicity 1)
Ni  0.5000  0.5000  0.0000 (multiplicity 1)

=====

Entry 2:
Computed, not measured: crystalline EuPuInPb at its relaxed geometry at the PBE-GGA level of DFT.

Magnetic moment: 13.2 μB per formula unit
VASP energy: -8.021 eV/atom
Crystal system: cubic

Cell lengths 7.8051, 7.8051, 7.8051 Å; angles 90.00, 90.00, 90.00 degrees
Space group F-43m (No. 216)
Inequivalent atoms, fractional coordinates:
Eu  0.0000  0.0000  0.0000 (multiplicity 4)
Pu  0.0000  0.0000  0.5000 (multiplicity 4)
In  0.2500  0.2500  0.2500 (multiplicity 4)
Pb  0.2500  0.2500  0.7500 (multiplicity 4)